Computed, not measured: PmTlNiPt after structural relaxation at the PBE level of DFT.

Cell: 4.8419 4.8419 4.8419 Å, 60.00 60.00 60.00°
Fractional coordinates of all 4 atoms:
Ni  0.7500  0.7500  0.7500
Tl  0.5000  0.5000  0.5000
Pt  0.2500  0.2500  0.2500
Pm  0.0000  0.0000  0.0000

Summary:
DOS at the Fermi energy = 3.42 states/eV/cell
Spin magnetization = 0.000 Bohr magnetons per cell
Calculated formation energy = -0.383 eV per atom
Space group = F-43m, No. 216
Total DFT energy (no corrections) = -0.37615 Ry per atom